1.
Computed, not measured: a relaxed structure of CrInAsSe2 at the PBE level of DFT.

It has space group P4/mmm (No. 123), with a = 4.854 Å, b = 4.854 Å, c = 4.693 Å, α = 90.00°, β = 90.00° and γ = 90.00°. Symmetry generates all atoms from Cr at (0.000, 0.000, 0.000), In at (0.500, 0.500, 0.500), As at (0.000, 0.000, 0.500) and Se at (0.000, 0.500, 0.000).

For the formation energy without anion corrections, the calculation gives 0.80 eV per formula unit. Its total DFT energy (no corrections) is -4.637 eV/atom.

2.
Computed, not measured: a relaxed structure of LaDy4In at the PBE level of DFT.

It has space group P4/mmm (No. 123), with a = 3.615 Å, b = 3.615 Å, c = 14.264 Å, α = 90.00°, β = 90.00° and γ = 90.00°. Symmetry generates all atoms from La at (0.000, 0.000, 0.000), Dy at (0.000, 0.000, 0.355), Dy at (0.500, 0.500, 0.181) and In at (0.500, 0.500, 0.500).

The value obtained for the formation energy is -141.2 meV per atom. Its total DFT energy (no corrections) is -4.487 eV/atom. The calculation puts the distance to the lowest polymorph of the same formula at 0.0 kJ/mol of atoms.

3.
Computed, not measured: a relaxed structure of Zn2CuSnN at the PBE level of DFT.

It has space group P4/mmm (No. 123), with a = 3.951 Å, b = 3.951 Å, c = 5.389 Å, α = 90.00°, β = 90.00° and γ = 90.00°. Symmetry generates all atoms from Zn at (0.000, 0.500, 0.000), Cu at (0.000, 0.000, 0.500), Sn at (0.500, 0.500, 0.500) and N at (0.500, 0.500, 0.000).

For the formation energy without anion corrections, the calculation gives 2.06 eV per formula unit. Its total DFT energy (no corrections) is -3.382 eV/atom.

4.
Computed, not measured: a relaxed structure of Nd8NiPb2 at the PBE level of DFT.

It has space group C2/m (No. 12), with a = 19.682 Å, b = 5.063 Å, c = 7.087 Å, α = 90.00°, β = 103.20° and γ = 90.00°. Symmetry generates all atoms from Nd at (0.011, 0.000, 0.282), Nd at (0.091, 0.500, 0.981), Nd at (0.142, 0.500, 0.510), Nd at (0.215, 0.000, 0.827), Ni at (0.000, 0.500, 0.500) and Pb at (0.182, 0.000, 0.267).

The value obtained for the formation energy is -246.3 meV per atom. Its total DFT energy (no corrections) is -4.914 eV/atom.

5.
Computed, not measured: a relaxed structure of La2PmCo at the PBE level of DFT.

It has space group P4/mmm (No. 123), with a = 3.550 Å, b = 3.550 Å, c = 9.279 Å, α = 90.00°, β = 90.00° and γ = 90.00°. Symmetry generates all atoms from La at (0.000, 0.000, 0.176), Pm at (0.500, 0.500, 0.500) and Co at (0.500, 0.500, 0.000).

The value obtained for the formation energy is 51.8 meV per atom. Its total DFT energy (no corrections) is -5.376 eV/atom. The calculation puts the distance to the lowest polymorph of the same formula at 13.8 kJ/mol of atoms.

6.
Computed, not measured: a relaxed structure of LaEuGa at the PBE level of DFT.

It has space group P3m1 (No. 156), with a = 5.1400 Å, b = 5.1400 Å, c = 3.8231 Å, α = 90.00°, β = 90.00° and γ = 120.00°. Symmetry generates all atoms from La at (0.0000, 0.0000, 0.0000), Eu at (0.6667, 0.3333, 0.3948) and Ga at (0.3333, 0.6667, 0.6894).

The value obtained for the formation energy is -250.6 meV per atom. Its total DFT energy (no corrections) is -6.327 eV/atom. The calculation puts the distance to the lowest polymorph of the same formula at 7.6 kJ/mol of atoms.